(1)
VASP calculation (PBE-GGA) on a geometry-optimized ZnW structure.

a = 2.794 Å, b = 2.794 Å, c = 4.560 Å
α = 90.00°, β = 90.00°, γ = 120.00°
Sites, in units of the cell vectors:
Zn (0.667, 0.333, 0.500)
W (0.000, 0.000, 0.000)

**Total DFT energy (no corrections)**: -13.56 eV/f.u.
**Formation energy from the elements**: 0.33 eV per atom

=====

(2)
VASP calculation (PBE-GGA) on a geometry-optimized ScSiPt2 structure.

a = 4.518 Å, b = 4.518 Å, c = 4.518 Å
α = 60.00°, β = 60.00°, γ = 60.00°
Sites, in units of the cell vectors:
Si (0.500, 0.500, 0.500)
Pt (0.000, 0.000, 0.000)
Pt (0.750, 0.750, 0.750)
Sc (0.250, 0.250, 0.250)

**Total DFT energy (no corrections)**: -26.33 eV/f.u.